[1]
Density functional theory data (GGA-PBE) for ZrZn2W after structural relaxation.

The structure in extended XYZ format:
```
4
Lattice="-1.054 -0.364 -6.341 -1.555 -3.518 3.079 -2.696 0.428 -0.876" Properties=species:S:1:pos:R:3 pbc="T T T"
W -1.305 -1.941 -1.631
Zn 0.000 0.000 0.000
Zn -1.875 0.032 -3.609
Zr -2.126 -1.545 1.102
```

Computed properties:
Relative energy among the computed polymorphs, eV per atom: 0.042
Calculated formation energy, eV/atom: 0.08
V, Å³/f.u.: 66.0
DFT total energy, eV/atom: -5.932

***

[2]
Density functional theory data (GGA-PBE) for Zr4Zn3W after structural relaxation.

The structure in extended XYZ format:
```
8
Lattice="3.385 0.000 0.000 0.000 3.385 0.000 0.000 0.000 13.183" Properties=species:S:1:pos:R:3 pbc="T T T"
Zn 1.693 1.693 3.300
Zn 1.693 1.693 6.592
Zn 1.693 1.693 9.883
W 1.693 1.693 0.000
Zr 0.000 0.000 11.579
Zr 0.000 0.000 1.604
Zr 0.000 0.000 4.939
Zr 0.000 0.000 8.245
```

Computed properties:
Calculated formation energy, eV/atom: -0.19
V, Å³/f.u.: 151.1
DFT total energy, eV/atom: -6.558

***

[3]
Density functional theory data (GGA-PBE) for ZrZn2W after structural relaxation.

The structure in extended XYZ format:
```
4
Lattice="-2.580 3.234 1.648 -0.017 -1.300 2.524 4.296 2.358 2.097" Properties=species:S:1:pos:R:3 pbc="T T T"
W 2.071 2.485 4.381
Zn 4.221 2.133 2.421
Zn -0.205 2.096 1.583
Zr 2.047 0.465 2.292
```

Computed properties:
Relative energy among the computed polymorphs, eV per atom: 0.067
Calculated formation energy, eV/atom: 0.11
V, Å³/f.u.: 66.7
DFT total energy, eV/atom: -5.906

***

[4]
Density functional theory data (GGA-PBE) for ZrZn2W after structural relaxation.

The structure in extended XYZ format:
```
4
Lattice="4.922 -0.005 -0.018 1.556 4.670 0.018 -3.228 -2.347 2.880" Properties=species:S:1:pos:R:3 pbc="T T T"
W 0.783 2.328 1.449
Zn 6.478 4.665 0.000
Zn 3.239 2.333 0.000
Zr 2.467 -0.010 1.431
```

Computed properties:
Relative energy among the computed polymorphs, eV per atom: 0.001
Calculated formation energy, eV/atom: 0.04
V, Å³/f.u.: 66.2
DFT total energy, eV/atom: -5.972

***

[5]
Density functional theory data (GGA-PBE) for ZrZn3W after structural relaxation.

The structure in extended XYZ format:
```
5
Lattice="4.866 0.000 0.000 0.000 4.866 0.000 0.000 0.000 4.866" Properties=species:S:1:pos:R:3 pbc="T T T"
Zn 0.000 2.433 0.000
Zn 0.000 0.000 2.433
Zn 2.433 0.000 0.000
Zr 0.000 0.000 0.000
W 2.433 2.433 2.433
```

Computed properties:
Relative energy among the computed polymorphs, eV per atom: 1.088
Calculated formation energy, eV/atom: 2.05
V, Å³/f.u.: 115.2
DFT total energy, eV/atom: -3.015

***

[6]
Density functional theory data (GGA-PBE) for Zr3W2 after structural relaxation.

The structure in extended XYZ format:
```
10
Lattice="4.528 1.358 7.441 -1.194 0.769 7.568 3.671 -3.976 1.954" Properties=species:S:1:pos:R:3 pbc="T T T"
Zr 3.369 1.490 13.647
Zr 3.636 -3.339 3.316
Zr 1.716 0.175 5.603
Zr 1.786 -1.099 2.878
Zr 3.503 -0.925 8.482
Zr 5.254 -1.387 12.722
W 5.185 -0.133 15.405
W 5.323 -2.641 10.040
W 3.572 -2.179 5.799
W 3.433 0.329 11.164
```

Computed properties:
Relative energy among the computed polymorphs, eV per atom: 0.000
Calculated formation energy, eV/atom: 0.30
V, Å³/f.u.: 99.1
DFT total energy, eV/atom: -10.013